A geometry-optimized MnTc2AgO8 structure, computed with PBE+U.

Cell lengths 5.8946, 5.8946, 6.4834 Å; angles 90.00, 90.00, 120.00 degrees
Space group P-3m1 (No. 164)
One atom of each set of equivalent atoms:
Mn 0.0000 0.0000 0.0000 x1
Tc 0.3333 0.6667 0.2852 x2
Ag 0.0000 0.0000 0.5000 x1
O 0.1670 0.3340 0.2039 x6
O 0.3333 0.6667 0.5523 x2

Results
For the total energy, the calculation gives -7.1439 eV per atom.